Rb2BaReO4: optimized geometry, PBE.

D(E_F)	5.8	states/eV per cell
formation energy from raw total energies	-165	kJ/mol of atoms
calculated total energy	-49.851	eV for the cell shown
size of the total moment	1.0	μB per cell

```
Rb2BaReO4
1.0
-3.2665 3.2665 3.8795
3.2665 -3.2665 3.8795
3.2665 3.2665 -3.8795
Rb Ba Re O
2 1 1 4
Direct
0.0000 0.0000 0.0000
0.7500 0.2500 0.5000
0.2500 0.7500 0.5000
0.5000 0.5000 0.0000
0.2914 0.6953 0.0545
0.3047 0.3592 0.5961
0.6408 0.2369 0.9455
0.7631 0.7086 0.4039
```